! Sc2Se3 PBE-GGA optimized geometry; values from VASP
! energy relative to the elements, uncorrected = -1.6868 eV/atom
! SG = No. 71
&SYSTEM
  ibrav = 0, nat = 5, ntyp = 2
/
ATOMIC_SPECIES
Se 78.96 Se.upf
Sc 44.96 Sc.upf
CELL_PARAMETERS angstrom
6.823 0.009 0.000
3.592 5.801 0.000
-4.669 -3.870 3.126
ATOMIC_POSITIONS angstrom
Se 1.870 1.043 0.000
Sc 2.758 -0.992 1.563
Se 5.207 2.905 0.000
Sc 2.987 2.932 1.563
Se 8.544 4.767 0.000